[1]
This record from the Alexandria database describes an optimized crystal structure of IrW. The functional is PBE.

Values from the calculation:
Energy relative to the elements, eV per atom: 1.34
Symmetry: No. 217
Magnetic moment, Bohr magnetons per cell: 0.0
Excess energy over the best structure of this formula in the dataset, meV/atom: 1641

a b c (Å): 7.769 7.769 7.769
angles (deg): 90.00 90.00 90.00
Positions (direct):
1 Ir 0.327 0.327 0.327
2 Ir 0.673 0.327 0.673
3 Ir 0.173 0.173 0.827
4 Ir 0.327 0.673 0.673
5 Ir 0.827 0.173 0.173
6 Ir 0.173 0.827 0.173
7 Ir 0.827 0.827 0.827
8 Ir 0.673 0.673 0.327
9 W 0.641 0.641 0.641
10 W 0.141 0.859 0.859
11 W 0.141 0.141 0.141
12 W 0.859 0.141 0.859
13 W 0.641 0.359 0.359
14 W 0.359 0.641 0.359
15 W 0.359 0.359 0.641
16 W 0.859 0.859 0.141

***

[2]
This record from the Alexandria database describes an optimized crystal structure of TmPuSn2. The functional is PBE.

Values from the calculation:
Energy relative to the elements, eV per atom: -0.43
Symmetry: No. 38
Magnetic moment, Bohr magnetons per cell: 5.9

a b c (Å): 4.623 4.244 6.138
angles (deg): 90.00 112.14 90.00
Last column: magnetic moment on the atom in μB.
Positions (direct):
1 Pu 0.451 0.500 0.441  5.39
2 Sn 0.990 0.000 0.520  -0.01
3 Sn 0.177 0.500 0.893  -0.01
4 Tm 0.713 0.000 0.965  0.08

***

[3]
This record from the Alexandria database describes an optimized crystal structure of LaSm4Dy7. The functional is PBE.

Values from the calculation:
Energy relative to the elements, eV per atom: 0.01
Symmetry: No. 2
Magnetic moment, Bohr magnetons per cell: 0.0
Excess energy over the best structure of this formula in the dataset, meV/atom: 0

a b c (Å): 7.239 6.273 11.486
angles (deg): 79.53 50.98 90.03
Positions (direct):
1 Sm 0.415 0.721 0.335
2 Sm 0.833 0.778 0.667
3 Sm 0.585 0.279 0.665
4 Sm 0.167 0.222 0.333
5 Dy 0.916 0.722 0.334
6 Dy 0.500 0.000 0.000
7 Dy 0.250 0.501 0.000
8 Dy 0.334 0.778 0.666
9 Dy 0.666 0.222 0.334
10 Dy 0.750 0.499 0.000
11 Dy 0.084 0.278 0.666
12 La 0.000 0.000 0.000

***

Copy entry 1 word for word.
This record from the Alexandria database describes an optimized crystal structure of IrW. The functional is PBE.

Values from the calculation:
Energy relative to the elements, eV per atom: 1.34
Symmetry: No. 217
Magnetic moment, Bohr magnetons per cell: 0.0
Excess energy over the best structure of this formula in the dataset, meV/atom: 1641

a b c (Å): 7.769 7.769 7.769
angles (deg): 90.00 90.00 90.00
Positions (direct):
1 Ir 0.327 0.327 0.327
2 Ir 0.673 0.327 0.673
3 Ir 0.173 0.173 0.827
4 Ir 0.327 0.673 0.673
5 Ir 0.827 0.173 0.173
6 Ir 0.173 0.827 0.173
7 Ir 0.827 0.827 0.827
8 Ir 0.673 0.673 0.327
9 W 0.641 0.641 0.641
10 W 0.141 0.859 0.859
11 W 0.141 0.141 0.141
12 W 0.859 0.141 0.859
13 W 0.641 0.359 0.359
14 W 0.359 0.641 0.359
15 W 0.359 0.359 0.641
16 W 0.859 0.859 0.141

***

Question: Which value of magnetic moment does entry 3 give?
Answer: 0.0 Bohr magnetons per cell